Arrangement one

A relaxed structure of ZrFeAgSn, computed with PBE.

## Properties
SG: F-43m (216)

The structure in POSCAR format:
```
ZrFeAgSn
1.0
0.000 3.297 3.297
3.297 0.000 3.297
3.297 3.297 0.000
Zr Fe Ag Sn
1 1 1 1
Direct
0.000 0.000 0.000 Zr
0.500 0.500 0.500 Fe
0.750 0.750 0.750 Ag
0.250 0.250 0.250 Sn
```



Arrangement two

A relaxed structure of ZrFeAgSn, computed with PBE.

## Properties
SG: F-43m (216)

The structure in POSCAR format:
```
ZrFeAgSn
1.0
0.000 3.279 3.279
3.279 0.000 3.279
3.279 3.279 0.000
Zr Fe Ag Sn
1 1 1 1
Direct
0.000 0.000 0.000 Zr
0.750 0.750 0.750 Fe
0.250 0.250 0.250 Ag
0.500 0.500 0.500 Sn
```



Of them, arrangement two has the highest stability.